[1]
The following is a PBE calculation of Pm3DySc after structural relaxation, from Alexandria via LeMat-Bulk.

## Properties
Final energy in eV/atom: -4.88
Total magnetic moment in μB/cell: 0.0
ΔE_f in eV per atom: 0.157
Density in g/cm³: 6.513
Energy relative to the lowest polymorph listed for this composition in eV/f.u.: 0.57

Geometry as POSCAR:
```
Pm3DySc
1.0
-2.936 0.298 1.927
-5.894 -1.987 -8.676
0.574 -17.046 3.515
Pm Dy Sc
12 4 4
Direct
0.754 0.061 0.077
0.743 0.500 0.750
0.246 0.061 0.577
0.257 0.500 0.250
0.754 0.561 0.423
0.743 0.000 0.750
0.754 0.439 0.077
0.246 0.939 0.923
0.754 0.939 0.423
0.246 0.439 0.577
0.257 0.000 0.250
0.246 0.561 0.923
0.260 0.750 0.104
0.260 0.250 0.396
0.740 0.250 0.896
0.740 0.750 0.604
0.241 0.750 0.772
0.759 0.750 0.272
0.759 0.250 0.228
0.241 0.250 0.728
```

=====

[2]
The following is a PBE calculation of NaInTe2Pb after structural relaxation, from Alexandria via LeMat-Bulk.

## Properties
Raw formation energy in meV/atom: 121
Final energy in eV/atom: -2.69
Total magnetic moment in μB/cell: 0.0
Density in g/cm³: 4.857
Energy relative to the lowest polymorph listed for this composition in eV/f.u.: 0.00

Geometry as POSCAR:
```
NaInTe2Pb
1.0
6.047 0.000 0.000
0.000 5.612 0.000
0.000 0.000 6.047
Te Na Pb In
2 1 1 1
Direct
0.000 0.000 0.500
0.500 0.000 0.000
0.000 0.500 0.000
0.000 0.000 0.000
0.500 0.500 0.500
```

=====

[3]
The following is a PBE calculation of Rb2LaPtO6 after structural relaxation, from Alexandria via LeMat-Bulk.

## Properties
Raw formation energy in meV/atom: -1433
Final energy in eV/atom: -5.70
Total magnetic moment in μB/cell: 3.0
Density in g/cm³: 6.069

Geometry as POSCAR:
```
Rb2LaPtO6
1.0
6.149 0.000 0.000
3.075 5.325 0.000
3.075 1.775 5.021
La O Rb Pt
1 6 2 1
Direct
0.500 0.500 0.500
0.774 0.226 0.226
0.774 0.226 0.774
0.226 0.226 0.774
0.226 0.774 0.774
0.226 0.774 0.226
0.774 0.774 0.226
0.250 0.250 0.250
0.750 0.750 0.750
0.000 0.000 0.000
```

=====

[4]
The following is a PBE calculation of PmGeRh4 after structural relaxation, from Alexandria via LeMat-Bulk.

## Properties
Final energy in eV/atom: -6.80
Total magnetic moment in μB/cell: 0.0
ΔE_f in eV per atom: -0.341
Density in g/cm³: 10.058
Energy relative to the lowest polymorph listed for this composition in eV/f.u.: 0.62

Geometry as POSCAR:
```
PmGeRh4
1.0
5.277 0.000 0.000
2.638 4.570 0.000
2.638 1.523 4.308
Rh Ge Pm
4 1 1
Direct
0.626 0.122 0.626
0.626 0.626 0.626
0.626 0.626 0.122
0.122 0.626 0.626
0.000 0.000 0.000
0.250 0.250 0.250
```

=====

[5]
The following is a PBE calculation of TaMnTc2 after structural relaxation, from Alexandria via LeMat-Bulk.

## Properties
Final energy in eV/atom: -10.45
Total magnetic moment in μB/cell: 2.5
ΔE_f in eV per atom: -0.007
Density in g/cm³: 12.021

Geometry as POSCAR:
```
TaMnTc2
1.0
4.386 0.000 0.000
2.193 3.798 0.000
2.193 1.266 3.581
Ta Mn Tc
1 1 2
Direct
0.250 0.250 0.250
0.500 0.500 0.500
0.000 0.000 0.000
0.750 0.750 0.750
```

=====

[6]
The following is a PBE calculation of Sr3ScMo after structural relaxation, from Alexandria via LeMat-Bulk.

## Properties
Final energy in eV/atom: -2.58
Total magnetic moment in μB/cell: 0.0
ΔE_f in eV per atom: 1.863
Density in g/cm³: 3.408
Energy relative to the lowest polymorph listed for this composition in eV/f.u.: 4.18

Geometry as POSCAR:
```
Sr3ScMo
1.0
5.816 0.000 0.000
0.000 5.816 0.000
0.000 0.000 5.816
Sr Sc Mo
3 1 1
Direct
0.000 0.500 0.000
0.500 0.000 0.000
0.000 0.000 0.500
0.000 0.000 0.000
0.500 0.500 0.500
```

=====

[7]
The following is a PBE calculation of RbAg2Ge2 after structural relaxation, from Alexandria via LeMat-Bulk.

## Properties
Final energy in eV/atom: -3.05
Total magnetic moment in μB/cell: 0.0
ΔE_f in eV per atom: 0.129
Density in g/cm³: 5.744
Energy relative to the lowest polymorph listed for this composition in eV/f.u.: 0.44

Geometry as POSCAR:
```
RbAg2Ge2
1.0
-2.624 -0.471 3.912
-3.846 -0.717 -2.666
-2.192 -6.258 0.642
Ag Rb Ge
2 1 2
Direct
0.360 0.360 0.281
0.640 0.640 0.719
0.000 0.000 0.000
0.250 0.750 0.500
0.750 0.250 0.500
```

=====

[8]
The following is a PBE calculation of La2CoSb after structural relaxation, from Alexandria via LeMat-Bulk.

## Properties
Raw formation energy in meV/atom: -353
Final energy in eV/atom: -5.62
Total magnetic moment in μB/cell: 0.0
Density in g/cm³: 6.078
Energy relative to the lowest polymorph listed for this composition in eV/f.u.: 0.78

Geometry as POSCAR:
```
La2CoSb
1.0
4.407 0.000 0.000
0.000 4.413 0.000
0.000 0.000 6.441
La Co Sb
2 1 1
Direct
0.500 0.500 0.288
0.000 0.000 0.901
0.500 0.500 0.909
0.000 0.000 0.403
```

=====

[9]
The following is a PBE calculation of Tl2IBrCl after structural relaxation, from Alexandria via LeMat-Bulk.

## Properties
Raw formation energy in meV/atom: -358
Final energy in eV/atom: -2.32
Total magnetic moment in μB/cell: 0.0
Density in g/cm³: 4.528

Geometry as POSCAR:
```
Tl2IBrCl
1.0
6.404 0.000 0.000
0.000 5.820 0.000
0.000 0.000 6.404
I Br Tl Cl
1 1 2 1
Direct
0.000 0.500 0.000
0.000 0.000 0.000
0.000 0.000 0.500
0.500 0.000 0.000
0.500 0.500 0.500
```

=====

[10]
The following is a PBE calculation of Cr4NiHg after structural relaxation, from Alexandria via LeMat-Bulk.

## Properties
Final energy in eV/atom: -6.97
Total magnetic moment in μB/cell: 0.0
ΔE_f in eV per atom: 0.461
Density in g/cm³: 9.837

Geometry as POSCAR:
```
Cr4NiHg
1.0
3.439 -2.990 -1.552
1.317 -3.762 2.699
-1.139 -4.469 -1.380
Cr Hg Ni
4 1 1
Direct
0.627 0.120 0.627
0.627 0.627 0.627
0.120 0.627 0.627
0.627 0.627 0.120
0.250 0.250 0.250
0.000 0.000 0.000
```

=====

[11]
The following is a PBE calculation of BaInIr2N after structural relaxation, from Alexandria via LeMat-Bulk.

## Properties
Raw formation energy in meV/atom: 532
Final energy in eV/atom: -5.61
Total magnetic moment in μB/cell: 0.0
Density in g/cm³: 11.109

Geometry as POSCAR:
```
BaInIr2N
1.0
4.242 0.000 0.000
0.000 5.406 0.000
0.000 0.000 4.242
N Ir Ba In
1 2 1 1
Direct
0.000 0.000 0.000
0.500 0.000 0.000
0.000 0.000 0.500
0.000 0.500 0.000
0.500 0.500 0.500
```

=====

[12]
The following is a PBE calculation of Tm5MgTl8 after structural relaxation, from Alexandria via LeMat-Bulk.

## Properties
Final energy in eV/atom: -3.20
Total magnetic moment in μB/cell: 0.0
ΔE_f in eV per atom: -0.141
Density in g/cm³: 10.837

Geometry as POSCAR:
```
Tm5MgTl8
1.0
-1.368 -7.183 3.067
6.349 3.140 3.566
-6.218 4.781 1.165
Tl Tm Mg
8 5 1
Direct
0.259 0.236 0.360
0.976 0.101 0.741
0.424 0.580 0.193
0.157 0.770 0.576
0.807 0.230 0.387
0.613 0.420 0.843
0.124 0.764 0.024
0.640 0.899 0.876
0.420 0.160 0.025
0.740 0.604 0.580
0.975 0.396 0.135
0.865 0.840 0.260
0.500 0.000 0.500
0.250 0.500 0.750
```

=====

[13]
The following is a PBE calculation of TaBeTe2 after structural relaxation, from Alexandria via LeMat-Bulk.

## Properties
Raw formation energy in meV/atom: 607
Final energy in eV/atom: -4.86
Total magnetic moment in μB/cell: 0.0
Density in g/cm³: 8.487

Geometry as POSCAR:
```
TaBeTe2
1.0
-5.867 4.802 4.666
-7.107 1.662 5.097
-4.595 2.788 7.097
Be Te Ta
1 2 1
Direct
0.500 0.500 0.500
0.894 0.894 0.894
0.106 0.106 0.106
0.000 0.000 0.000
```

=====

[14]
The following is a PBE calculation of Ba2Na2SrPb2 after structural relaxation, from Alexandria via LeMat-Bulk.

## Properties
Final energy in eV/atom: -2.57
Total magnetic moment in μB/cell: 0.0
ΔE_f in eV per atom: -0.344
Density in g/cm³: 4.995

Geometry as POSCAR:
```
Ba2Na2SrPb2
1.0
5.566 0.000 0.000
2.783 4.820 0.000
2.783 1.607 10.192
Na Pb Ba Sr
2 2 2 1
Direct
0.614 0.614 0.157
0.386 0.386 0.843
0.739 0.739 0.782
0.261 0.261 0.218
0.126 0.126 0.621
0.874 0.874 0.379
0.000 0.000 0.000
```

=====

[15]
The following is a PBE calculation of NbCo2HW after structural relaxation, from Alexandria via LeMat-Bulk.

## Properties
Final energy in eV/atom: -8.11
Total magnetic moment in μB/cell: 0.0
Density in g/cm³: 11.621
Energy relative to the lowest polymorph listed for this composition in eV/f.u.: 0.00

Geometry as POSCAR:
```
NbCo2HW
1.0
3.776 0.000 0.000
0.000 3.776 0.000
0.000 0.000 3.965
Nb Co W H
1 2 1 1
Direct
0.000 0.000 0.500
0.500 0.000 0.000
0.000 0.500 0.000
0.500 0.500 0.500
0.000 0.000 0.000
```

=====

[16]
The following is a PBE calculation of BaTc2 after structural relaxation, from Alexandria via LeMat-Bulk.

## Properties
Final energy in eV/atom: -6.91
Total magnetic moment in μB/cell: 0.0
ΔE_f in eV per atom: 0.639
Density in g/cm³: 7.552
Energy relative to the lowest polymorph listed for this composition in eV/f.u.: 0.70

Geometry as POSCAR:
```
BaTc2
1.0
6.569 0.009 -0.038
4.732 4.556 0.038
-5.635 -2.319 2.452
Ba Tc
1 2
Direct
0.000 0.000 0.000
0.270 0.270 0.000
0.730 0.730 0.000
```

=====

[17]
The following is a PBE calculation of Na4In2Pb5 after structural relaxation, from Alexandria via LeMat-Bulk.

## Properties
Final energy in eV/atom: -2.77
Total magnetic moment in μB/cell: 0.0
ΔE_f in eV per atom: -0.102
Density in g/cm³: 7.079
Energy relative to the lowest polymorph listed for this composition in eV/f.u.: 0.00

Geometry as POSCAR:
```
Na4In2Pb5
1.0
-2.785 0.379 1.859
0.548 -8.157 2.486
6.132 3.845 8.403
Pb In Na
5 2 4
Direct
0.000 0.579 0.296
0.000 0.421 0.704
0.000 0.500 0.000
0.000 0.192 0.172
0.000 0.808 0.828
0.000 0.056 0.631
0.000 0.944 0.369
0.500 0.836 0.105
0.500 0.164 0.895
0.500 0.705 0.560
0.500 0.295 0.440
```

=====

[18]
The following is a PBE calculation of Sc10As3P3 after structural relaxation, from Alexandria via LeMat-Bulk.

## Properties
Final energy in eV/atom: -6.99
Total magnetic moment in μB/cell: 0.0
ΔE_f in eV per atom: -1.149
Density in g/cm³: 4.249

Geometry as POSCAR:
```
Sc10As3P3
1.0
5.644 0.000 0.000
0.000 6.783 -3.916
0.000 0.000 7.832
Sc P As
10 3 3
Direct
0.755 0.667 0.333
0.000 0.750 0.750
0.000 0.250 0.000
0.500 0.000 0.750
0.245 0.667 0.333
0.245 0.333 0.667
0.000 0.000 0.250
0.500 0.250 0.250
0.500 0.750 0.000
0.755 0.333 0.667
0.000 0.616 0.000
0.000 0.384 0.384
0.000 0.000 0.616
0.500 0.388 0.000
0.500 0.612 0.612
0.500 0.000 0.388
```

=====

[19]
The following is a PBE calculation of Ce2PmMg after structural relaxation, from Alexandria via LeMat-Bulk.

## Properties
Final energy in eV/atom: -4.28
Total magnetic moment in μB/cell: 1.5
ΔE_f in eV per atom: 0.275
Density in g/cm³: 6.293
Energy relative to the lowest polymorph listed for this composition in eV/f.u.: 0.70

Geometry as POSCAR:
```
Ce2PmMg
1.0
-2.516 0.742 -1.990
0.029 -1.003 -3.136
-6.646 -10.782 1.659
Ce Pm Mg
2 1 1
Direct
0.087 0.087 0.739
0.913 0.913 0.261
0.500 0.500 0.500
0.000 0.000 0.000
```

=====

[20]
The following is a PBE calculation of La4Ge2Sb after structural relaxation, from Alexandria via LeMat-Bulk.

## Properties
Raw formation energy in meV/atom: -932
Final energy in eV/atom: -5.66
Total magnetic moment in μB/cell: 0.0
Density in g/cm³: 6.389
Energy relative to the lowest polymorph listed for this composition in eV/f.u.: 0.00

Geometry as POSCAR:
```
La4Ge2Sb
1.0
-5.268 -6.245 -0.908
1.311 3.649 -7.249
7.131 -2.878 2.908
La Ge Sb
8 4 2
Direct
0.740 0.995 0.607
0.245 0.490 0.107
0.862 0.755 0.245
0.510 0.617 0.755
0.867 0.260 0.255
0.005 0.612 0.745
0.383 0.138 0.893
0.388 0.133 0.393
0.625 0.504 0.379
0.754 0.375 0.879
0.496 0.875 0.121
0.125 0.246 0.621
0.000 0.000 0.000
0.250 0.750 0.500
```